(1)
Below is crystalline CsMgOs at its relaxed geometry, with properties calculated at the PBE level.

Computed properties:
size of the total moment: 4.00 Bohr magnetons per cell
symmetry: No. 216
ΔE to the lowest computed polymorph: 0 meV/atom
raw total energy: -2.94 eV per atom

Cell: 6.9847 6.9847 6.9847 Å, 90.00 90.00 90.00°
Closest atoms and distances in Å follow each position.
Fractional positions:
1 Cs 0.0000 0.0000 0.0000  4 Os 3.02
2 Cs 0.0000 0.5000 0.5000  4 Os 3.02
3 Cs 0.5000 0.0000 0.5000  4 Os 3.02
4 Cs 0.5000 0.5000 0.0000  4 Os 3.02
5 Mg 0.0000 0.0000 0.5000  4 Os 3.02
6 Mg 0.0000 0.5000 0.0000  4 Os 3.02
7 Mg 0.5000 0.0000 0.0000  4 Os 3.02
8 Mg 0.5000 0.5000 0.5000  4 Os 3.02
9 Os 0.2500 0.2500 0.2500  4 Mg 3.02, 4 Cs 3.02
10 Os 0.2500 0.7500 0.7500  4 Mg 3.02, 4 Cs 3.02
11 Os 0.7500 0.2500 0.7500  4 Mg 3.02, 4 Cs 3.02
12 Os 0.7500 0.7500 0.2500  4 Mg 3.02, 4 Cs 3.02

(2)
Below is crystalline GdZr3S6 at its relaxed geometry, with properties calculated at the PBE level.

Computed properties:
size of the total moment: 0.45 Bohr magnetons per cell
symmetry: No. 11
raw total energy: -7.15 eV per atom

Cell: 10.6648 3.6907 10.8947 Å, 90.00 108.67 90.00°
Closest atoms and distances in Å follow each position.
Fractional positions:
1 Gd 0.0468 0.2500 0.1976  8 S 2.79-2.93
2 Gd 0.9532 0.7500 0.8024  8 S 2.79-2.93
3 Zr 0.1414 0.2500 0.5730  6 S 2.57-2.63
4 Zr 0.3186 0.7500 0.9948  7 S 2.57-2.77
5 Zr 0.4348 0.2500 0.3499  6 S 2.59-2.73
6 Zr 0.5652 0.7500 0.6501  6 S 2.59-2.73
7 Zr 0.6814 0.2500 0.0052  7 S 2.57-2.77
8 Zr 0.8586 0.7500 0.4270  6 S 2.57-2.63
9 S 0.0888 0.7500 0.3983  3 Zr 2.57-2.58, 2 Gd 2.79
10 S 0.1263 0.2500 0.9698  2 Zr 2.71, 3 Gd 2.83-2.87
11 S 0.1988 0.7500 0.7487  3 Zr 2.57-2.59, 1 Gd 2.86
12 S 0.2672 0.7500 0.2244  3 Zr 2.63-2.73, 2 Gd 2.93
13 S 0.3870 0.2500 0.5703  4 Zr 2.59-2.63
14 S 0.4841 0.2500 0.1194  4 Zr 2.61-2.77
15 S 0.5159 0.7500 0.8806  4 Zr 2.61-2.77
16 S 0.6130 0.7500 0.4297  4 Zr 2.59-2.63
17 S 0.7328 0.2500 0.7756  3 Zr 2.63-2.73, 2 Gd 2.93
18 S 0.8012 0.2500 0.2513  3 Zr 2.57-2.59, 1 Gd 2.86
19 S 0.8737 0.7500 0.0302  2 Zr 2.71, 3 Gd 2.83-2.87
20 S 0.9112 0.2500 0.6017  3 Zr 2.57-2.58, 2 Gd 2.79

(3)
Below is crystalline ZnFeBi2 at its relaxed geometry, with properties calculated at the PBE level.

Computed properties:
size of the total moment: 10.35 Bohr magnetons per cell
symmetry: No. 216
raw total energy: -3.74 eV per atom

Cell: 7.0710 7.0710 7.0710 Å, 90.00 90.00 90.00°
Closest atoms and distances in Å follow each position.
Fractional positions:
1 Zn 0.0000 0.0000 0.0000  4 Bi 3.06, 4 Fe 3.06
2 Zn 0.0000 0.5000 0.5000  4 Fe 3.06, 4 Bi 3.06
3 Zn 0.5000 0.0000 0.5000  4 Fe 3.06, 4 Bi 3.06
4 Zn 0.5000 0.5000 0.0000  4 Fe 3.06, 4 Bi 3.06
5 Fe 0.2500 0.2500 0.2500  4 Bi 3.06, 4 Zn 3.06
6 Fe 0.2500 0.7500 0.7500  4 Bi 3.06, 4 Zn 3.06
7 Fe 0.7500 0.2500 0.7500  4 Bi 3.06, 4 Zn 3.06
8 Fe 0.7500 0.7500 0.2500  4 Bi 3.06, 4 Zn 3.06
9 Bi 0.0000 0.0000 0.5000  4 Fe 3.06, 4 Bi 3.06
10 Bi 0.0000 0.5000 0.0000  4 Fe 3.06, 4 Bi 3.06
11 Bi 0.2500 0.2500 0.7500  4 Bi 3.06, 4 Zn 3.06
12 Bi 0.2500 0.7500 0.2500  4 Bi 3.06, 4 Zn 3.06
13 Bi 0.5000 0.0000 0.0000  4 Fe 3.06, 4 Bi 3.06
14 Bi 0.5000 0.5000 0.5000  4 Fe 3.06, 4 Bi 3.06
15 Bi 0.7500 0.2500 0.2500  4 Bi 3.06, 4 Zn 3.06
16 Bi 0.7500 0.7500 0.7500  4 Zn 3.06, 4 Bi 3.06

(4)
Below is crystalline LiTaO3 at its relaxed geometry, with properties calculated at the PBE level.

Computed properties:
size of the total moment: 0.00 Bohr magnetons per cell
symmetry: No. 62
raw total energy: -8.40 eV per atom

Cell: 5.3800 7.4852 5.1511 Å, 90.00 90.00 90.00°
Closest atoms and distances in Å follow each position.
Fractional positions:
1 Li 0.0268 0.2500 0.0028  3 O 2.00-2.03
2 Li 0.4732 0.7500 0.5028  3 O 2.00-2.03
3 Li 0.5268 0.2500 0.4972  3 O 2.00-2.03
4 Li 0.9732 0.7500 0.9972  3 O 2.00-2.03
5 Ta 0.0000 0.0000 0.5000  6 O 1.98-1.99
6 Ta 0.0000 0.5000 0.5000  6 O 1.98-1.99
7 Ta 0.5000 0.0000 0.0000  6 O 1.98-1.99
8 Ta 0.5000 0.5000 0.0000  6 O 1.98-1.99
9 O 0.0426 0.7500 0.3777  2 Ta 1.99, 1 Li 2.00
10 O 0.1867 0.5628 0.8194  2 Ta 1.98, 1 Li 2.03
11 O 0.1867 0.9372 0.8194  2 Ta 1.98, 1 Li 2.03
12 O 0.3133 0.0628 0.3194  2 Ta 1.98, 1 Li 2.03
13 O 0.3133 0.4372 0.3194  2 Ta 1.98, 1 Li 2.03
14 O 0.4574 0.2500 0.8777  2 Ta 1.99, 1 Li 2.00
15 O 0.5426 0.7500 0.1223  2 Ta 1.99, 1 Li 2.00
16 O 0.6867 0.5628 0.6806  2 Ta 1.98, 1 Li 2.03
17 O 0.6867 0.9372 0.6806  2 Ta 1.98, 1 Li 2.03
18 O 0.8133 0.0628 0.1806  2 Ta 1.98, 1 Li 2.03
19 O 0.8133 0.4372 0.1806  2 Ta 1.98, 1 Li 2.03
20 O 0.9574 0.2500 0.6223  2 Ta 1.99, 1 Li 2.00

(5)
Below is crystalline HoTm2Al3AgPt2 at its relaxed geometry, with properties calculated at the PBE level.

Computed properties:
size of the total moment: 0.00 Bohr magnetons per cell
symmetry: No. 38
raw total energy: -5.30 eV per atom

Cell: 3.8710 7.3117 7.3117 Å, 120.12 90.00 90.00°
Closest atoms and distances in Å follow each position.
Fractional positions:
1 Ho 0.0000 0.0000 0.0000  4 Pt 2.94, 1 Ag 3.04, 6 Al 3.07-3.29
2 Tm 0.0000 0.4142 0.8290  4 Pt 2.92, 1 Ag 3.03, 2 Al 3.07
3 Tm 0.0000 0.8290 0.4142  4 Pt 2.92, 1 Ag 3.03, 2 Al 3.07
4 Al 0.5000 0.1555 0.4152  2 Ag 2.71, 2 Pt 2.73-2.75
5 Al 0.5000 0.4152 0.1555  2 Ag 2.71, 2 Pt 2.73-2.75
6 Al 0.5000 0.6735 0.6735  2 Ag 2.70, 2 Pt 2.76
7 Ag 0.0000 0.4160 0.4160  6 Al 2.70-2.71
8 Pt 0.5000 0.0818 0.7463  3 Al 2.73-2.76, 4 Tm 2.92, 2 Ho 2.94
9 Pt 0.5000 0.7463 0.0818  3 Al 2.73-2.76, 4 Tm 2.92, 2 Ho 2.94

(6)
Below is crystalline SmZnPd at its relaxed geometry, with properties calculated at the PBE level.

Computed properties:
formation energy: -0.08 eV per atom
size of the total moment: 0.03 Bohr magnetons per cell
symmetry: No. 216
raw total energy: -3.80 eV per atom

Cell: 6.7379 6.7379 6.7379 Å, 90.00 90.00 90.00°
Closest atoms and distances in Å follow each position.
Fractional positions:
1 Sm 0.0000 0.0000 0.0000  4 Pd 2.92, 4 Zn 2.92
2 Sm 0.0000 0.5000 0.5000  4 Pd 2.92, 4 Zn 2.92
3 Sm 0.5000 0.0000 0.5000  4 Pd 2.92, 4 Zn 2.92
4 Sm 0.5000 0.5000 0.0000  4 Pd 2.92, 4 Zn 2.92
5 Zn 0.2500 0.2500 0.2500  4 Sm 2.92
6 Zn 0.2500 0.7500 0.7500  4 Sm 2.92
7 Zn 0.7500 0.2500 0.7500  4 Sm 2.92
8 Zn 0.7500 0.7500 0.2500  4 Sm 2.92
9 Pd 0.2500 0.2500 0.7500  4 Sm 2.92
10 Pd 0.2500 0.7500 0.2500  4 Sm 2.92
11 Pd 0.7500 0.2500 0.2500  4 Sm 2.92
12 Pd 0.7500 0.7500 0.7500  4 Sm 2.92

(7)
Below is crystalline SrTbEr at its relaxed geometry, with properties calculated at the PBE level.

Computed properties:
size of the total moment: 0.06 Bohr magnetons per cell
symmetry: No. 216
ΔE to the lowest computed polymorph: 516 meV/atom
raw total energy: -2.81 eV per atom

Cell: 8.1018 8.1018 8.1018 Å, 90.00 90.00 90.00°
Closest atoms and distances in Å follow each position.
Fractional positions:
1 Sr 0.0000 0.0000 0.0000  4 Er 3.51
2 Sr 0.0000 0.5000 0.5000  4 Er 3.51
3 Sr 0.5000 0.0000 0.5000  4 Er 3.51
4 Sr 0.5000 0.5000 0.0000  4 Er 3.51
5 Tb 0.0000 0.0000 0.5000  4 Er 3.51
6 Tb 0.0000 0.5000 0.0000  4 Er 3.51
7 Tb 0.5000 0.0000 0.0000  4 Er 3.51
8 Tb 0.5000 0.5000 0.5000  4 Er 3.51
9 Er 0.2500 0.2500 0.2500  4 Tb 3.51, 4 Sr 3.51
10 Er 0.2500 0.7500 0.7500  4 Tb 3.51, 4 Sr 3.51
11 Er 0.7500 0.2500 0.7500  4 Tb 3.51, 4 Sr 3.51
12 Er 0.7500 0.7500 0.2500  4 Tb 3.51, 4 Sr 3.51

(8)
Below is crystalline PrSnPIr2 at its relaxed geometry, with properties calculated at the PBE level.

Computed properties:
size of the total moment: 0.00 Bohr magnetons per cell
symmetry: No. 129
raw total energy: -7.17 eV per atom

Cell: 4.3944 4.3944 10.1772 Å, 90.00 90.00 90.00°
Closest atoms and distances in Å follow each position.
Fractional positions:
1 Pr 0.2500 0.2500 0.2248  4 P 3.17, 5 Ir 3.24-3.38, 4 Sn 3.38
2 Pr 0.7500 0.7500 0.7752  4 P 3.17, 5 Ir 3.24-3.38, 4 Sn 3.38
3 Sn 0.2500 0.2500 0.6437  5 Ir 2.64-2.67
4 Sn 0.7500 0.7500 0.3563  5 Ir 2.64-2.67
5 P 0.2500 0.7500 0.0000  4 Ir 2.39
6 P 0.7500 0.2500 0.0000  4 Ir 2.39
7 Ir 0.2500 0.2500 0.9064  4 P 2.39, 1 Sn 2.67
8 Ir 0.2500 0.7500 0.5000  4 Sn 2.64
9 Ir 0.7500 0.2500 0.5000  4 Sn 2.64
10 Ir 0.7500 0.7500 0.0936  4 P 2.39, 1 Sn 2.67